# Sm2EuRu | the Alexandria database | PBE | relaxed
data_Sm2EuRu
_symmetry_space_group_name_H-M 'R -3 m'
_symmetry_Int_Tables_number 166
_symmetry_space_group_name_Hall '-R 3 2"'
_cell_length_a 4.7747
_cell_length_b 4.7747
_cell_length_c 16.9910
_cell_angle_alpha 90.00
_cell_angle_beta 90.00
_cell_angle_gamma 120.00
loop_
_atom_site_label
_atom_site_fract_x
_atom_site_fract_y
_atom_site_fract_z
Sm1 0.0000 0.0000 0.2253
Eu1 0.0000 0.0000 0.0000
Ru1 0.0000 0.0000 0.5000
# energy above the most stable polymorph in this dataset: 176 meV per atom
# mass density: 8.2 g/cm³
# energy of formation from the pure elements: 0.0516 eV per atom